LiBeCuCl2 (PBE, optimized geometry); SG = No. 123
1.0
5.013 0.000 0.000
0.000 4.218 0.000
0.000 0.000 5.013
Cl Be Li Cu
2 1 1 1
direct
0.000 0.000 0.500
0.500 0.000 0.000
0.000 0.500 0.000
0.500 0.500 0.500
0.000 0.000 0.000

Cs4AgCl3 (PBE, optimized geometry); SG = No. 221
1.0
7.212 0.000 0.000
0.000 7.212 0.000
0.000 0.000 7.212
Cs Ag Cl
4 1 3
direct
0.000 0.000 0.500
0.000 0.500 0.000
0.500 0.000 0.000
0.500 0.500 0.500
0.000 0.000 0.000
0.500 0.500 0.000
0.500 0.000 0.500
0.000 0.500 0.500

CrSb3 (PBE, optimized geometry); SG = No. 139
1.0
-0.647 -4.083 -4.476
4.036 -0.113 -4.564
0.028 0.102 6.093
Sb Cr
3 1
direct
0.750 0.250 0.500
0.500 0.500 0.000
0.250 0.750 0.500
0.000 0.000 0.000

E_tot list, top to bottom, in eV per formula unit: -14.0; -23.3; -20.3
E_form (uncorrected) list, top to bottom, in eV/atom: -0.11; -1.43; 0.43